# 1
Here is a relaxed structure of Y3TaTe from Alexandria. Energies are from PBE.

The structure in POSCAR format:
```
Y3TaTe
1.0
5.488 0.000 0.000
0.000 5.488 0.000
0.000 0.000 5.488
Y Ta Te
3 1 1
Cartesian
0.000 0.000 2.744
0.000 2.744 0.000
2.744 0.000 0.000
0.000 0.000 0.000
2.744 2.744 2.744
```

Calculated values
Formation energy without anion corrections in eV/atom: 0.402
Excess energy over the best structure of this formula in the dataset in meV/atom: 0
Density of states at the Fermi level in states/eV per cell: 5.750
Total energy in eV per cell: -32.378
Symmetry: Pm-3m

=====

# 2
Here is a relaxed structure of YTa2Te from Alexandria. Energies are from PBE.

The structure in POSCAR format:
```
YTa2Te
1.0
1.667 0.962 9.358
-1.667 0.962 9.358
0.000 -1.925 9.358
Y Ta Te
1 2 1
Cartesian
0.000 0.000 0.000
0.000 0.000 6.793
0.000 0.000 21.280
0.000 0.000 14.037
```

Calculated values
Formation energy without anion corrections in eV/atom: 0.375
Density of states at the Fermi level in states/eV per cell: 2.870
Total energy in eV per cell: -31.811
Symmetry: R-3m